a) A relaxed BeTl2In crystal. Source: Alexandria, functional GGA-PBE. Values from VASP.

Computed properties:
N(E_F)   0.36 states/eV per atom
Calculated volume   24.73 A^3/atom

The structure in Quantum ESPRESSO input format:
```
&SYSTEM
  ibrav = 0, nat = 4, ntyp = 3
/
ATOMIC_SPECIES
Be 9.01 Be.upf
Tl 204.38 Tl.upf
In 114.82 In.upf
ATOMIC_POSITIONS crystal
Be 0.000 0.000 0.000
Tl 0.497 0.497 0.000
Tl 0.804 0.304 0.500
In 0.183 0.683 0.500
CELL_PARAMETERS angstrom
-1.597 2.573 6.019
1.597 -2.573 6.019
1.597 2.573 -6.019
```

***

b) A relaxed BeTl2In crystal. Source: Alexandria, functional GGA-PBE. Values from VASP.

Computed properties:
N(E_F)   0.47 states/eV per atom
Calculated volume   25.47 A^3/atom

The structure in Quantum ESPRESSO input format:
```
&SYSTEM
  ibrav = 0, nat = 4, ntyp = 3
/
ATOMIC_SPECIES
Be 9.01 Be.upf
Tl 204.38 Tl.upf
In 114.82 In.upf
ATOMIC_POSITIONS crystal
Be 0.000 0.000 0.000
Tl 0.000 0.500 0.500
Tl 0.500 0.000 0.500
In 0.500 0.500 0.000
CELL_PARAMETERS angstrom
3.110 -5.288 0.000
3.110 5.288 0.000
-1.832 0.000 3.097
```

***

c) A relaxed BeTl2In crystal. Source: Alexandria, functional GGA-PBE. Values from VASP.

Computed properties:
N(E_F)   0.26 states/eV per atom
Calculated volume   26.30 A^3/atom

The structure in Quantum ESPRESSO input format:
```
&SYSTEM
  ibrav = 0, nat = 4, ntyp = 3
/
ATOMIC_SPECIES
Be 9.01 Be.upf
Tl 204.38 Tl.upf
In 114.82 In.upf
ATOMIC_POSITIONS crystal
Be 0.000 0.000 0.000
Tl 0.484 0.484 0.675
Tl 0.659 0.659 0.325
In 0.286 0.286 0.001
CELL_PARAMETERS angstrom
4.291 -1.744 0.000
4.291 1.744 0.000
-2.341 0.000 7.027
```

***

The winner here is c), beating the second structure by 9.7 kJ/mol of atoms.

***

a) A relaxed BeTl2In crystal. Source: Alexandria, functional GGA-PBE. Values from VASP.

Computed properties:
N(E_F)   0.32 states/eV per atom
Calculated volume   24.94 A^3/atom

The structure in Quantum ESPRESSO input format:
```
&SYSTEM
  ibrav = 0, nat = 4, ntyp = 3
/
ATOMIC_SPECIES
Be 9.01 Be.upf
Tl 204.38 Tl.upf
In 114.82 In.upf
ATOMIC_POSITIONS crystal
Be 0.000 0.000 0.000
Tl 0.000 0.500 0.500
Tl 0.500 0.000 0.500
In 0.500 0.500 0.000
CELL_PARAMETERS angstrom
4.629 0.000 0.000
0.000 4.629 0.000
0.000 0.000 4.657
```

***

b) A relaxed BeTl2In crystal. Source: Alexandria, functional GGA-PBE. Values from VASP.

Computed properties:
N(E_F)   0.42 states/eV per atom
Calculated volume   25.42 A^3/atom

The structure in Quantum ESPRESSO input format:
```
&SYSTEM
  ibrav = 0, nat = 4, ntyp = 3
/
ATOMIC_SPECIES
Be 9.01 Be.upf
Tl 204.38 Tl.upf
In 114.82 In.upf
ATOMIC_POSITIONS crystal
Be 0.000 0.000 0.000
Tl 0.000 0.500 0.500
Tl 0.500 0.823 0.823
In 0.500 0.170 0.170
CELL_PARAMETERS angstrom
3.501 0.000 0.000
0.000 2.538 5.721
0.000 -2.538 5.721
```

***

The winner here is b), beating the second structure by 18.2 kJ/mol of atoms.

***

a) A relaxed BeTl2In crystal. Source: Alexandria, functional GGA-PBE. Values from VASP.

Computed properties:
N(E_F)   0.51 states/eV per atom
Calculated volume   25.02 A^3/atom

The structure in Quantum ESPRESSO input format:
```
&SYSTEM
  ibrav = 0, nat = 4, ntyp = 3
/
ATOMIC_SPECIES
Be 9.01 Be.upf
Tl 204.38 Tl.upf
In 114.82 In.upf
ATOMIC_POSITIONS crystal
Be 0.000 0.000 0.000
Tl 0.500 0.500 0.000
Tl 0.750 0.250 0.500
In 0.250 0.750 0.500
CELL_PARAMETERS angstrom
-2.386 2.386 4.396
2.386 -2.386 4.396
2.386 2.386 -4.396
```

***

b) A relaxed BeTl2In crystal. Source: Alexandria, functional GGA-PBE. Values from VASP.

Computed properties:
N(E_F)   0.41 states/eV per atom
Calculated volume   26.38 A^3/atom

The structure in Quantum ESPRESSO input format:
```
&SYSTEM
  ibrav = 0, nat = 4, ntyp = 3
/
ATOMIC_SPECIES
Be 9.01 Be.upf
Tl 204.38 Tl.upf
In 114.82 In.upf
ATOMIC_POSITIONS crystal
Be 0.000 0.000 0.000
Tl 0.167 0.833 0.500
Tl 0.833 0.167 0.500
In 0.500 0.500 0.000
CELL_PARAMETERS angstrom
2.439 -6.146 0.000
2.439 6.146 0.000
0.000 0.000 3.521
```

***

The winner here is b), beating the second structure by 18.0 kJ/mol of atoms.

***

a) A relaxed BeTl2In crystal. Source: Alexandria, functional GGA-PBE. Values from VASP.

Computed properties:
N(E_F)   0.67 states/eV per atom
Calculated volume   25.04 A^3/atom

The structure in Quantum ESPRESSO input format:
```
&SYSTEM
  ibrav = 0, nat = 4, ntyp = 3
/
ATOMIC_SPECIES
Be 9.01 Be.upf
Tl 204.38 Tl.upf
In 114.82 In.upf
ATOMIC_POSITIONS crystal
Be 0.000 0.000 0.000
Tl 0.250 0.250 0.250
Tl 0.750 0.750 0.750
In 0.500 0.500 0.500
CELL_PARAMETERS angstrom
0.000 3.686 3.686
3.686 0.000 3.686
3.686 3.686 0.000
```

***

b) A relaxed BeTl2In crystal. Source: Alexandria, functional GGA-PBE. Values from VASP.

Computed properties:
N(E_F)   0.38 states/eV per atom
Calculated volume   24.41 A^3/atom

The structure in Quantum ESPRESSO input format:
```
&SYSTEM
  ibrav = 0, nat = 4, ntyp = 3
/
ATOMIC_SPECIES
Be 9.01 Be.upf
Tl 204.38 Tl.upf
In 114.82 In.upf
ATOMIC_POSITIONS crystal
Be 0.000 0.000 0.000
Tl 0.500 0.500 0.198
Tl 0.500 0.500 0.802
In 0.000 0.000 0.500
CELL_PARAMETERS angstrom
2.099 -2.608 0.000
2.099 2.608 0.000
0.000 0.000 8.922
```

***

The winner here is b), beating the second structure by 11.3 kJ/mol of atoms.

***

a) A relaxed BeTl2In crystal. Source: Alexandria, functional GGA-PBE. Values from VASP.

Computed properties:
N(E_F)   0.33 states/eV per atom
Calculated volume   25.65 A^3/atom

The structure in Quantum ESPRESSO input format:
```
&SYSTEM
  ibrav = 0, nat = 4, ntyp = 3
/
ATOMIC_SPECIES
Be 9.01 Be.upf
Tl 204.38 Tl.upf
In 114.82 In.upf
ATOMIC_POSITIONS crystal
Be 0.000 0.000 0.000
Tl 0.334 0.825 0.657
Tl 0.666 0.175 0.343
In 0.500 0.500 0.000
CELL_PARAMETERS angstrom
3.229 0.000 0.000
-0.528 4.239 0.000
-0.416 -2.189 7.496
```

***

b) A relaxed BeTl2In crystal. Source: Alexandria, functional GGA-PBE. Values from VASP.

Computed properties:
N(E_F)   0.29 states/eV per atom
Calculated volume   24.86 A^3/atom

The structure in Quantum ESPRESSO input format:
```
&SYSTEM
  ibrav = 0, nat = 4, ntyp = 3
/
ATOMIC_SPECIES
Be 9.01 Be.upf
Tl 204.38 Tl.upf
In 114.82 In.upf
ATOMIC_POSITIONS crystal
Be 0.000 0.000 0.000
Tl 0.269 0.269 0.269
Tl 0.731 0.731 0.731
In 0.500 0.500 0.500
CELL_PARAMETERS angstrom
1.886 1.089 8.075
-1.886 1.089 8.075
0.000 -2.177 8.075
```

***

The winner here is a), beating the second structure by 7.4 kJ/mol of atoms.

***

a) A relaxed BeTl2In2 crystal. Source: Alexandria, functional GGA-PBE. Values from VASP.

Computed properties:
N(E_F)   0.24 states/eV per atom
Calculated volume   26.09 A^3/atom

The structure in Quantum ESPRESSO input format:
```
&SYSTEM
  ibrav = 0, nat = 10, ntyp = 3
/
ATOMIC_SPECIES
Be 9.01 Be.upf
Tl 204.38 Tl.upf
In 114.82 In.upf
ATOMIC_POSITIONS crystal
Be 0.000 0.000 0.000
Be 0.500 0.500 0.000
Tl 0.171 0.329 0.500
Tl 0.329 0.829 0.500
Tl 0.671 0.171 0.500
Tl 0.829 0.671 0.500
In 0.160 0.660 0.000
In 0.340 0.160 0.000
In 0.660 0.840 0.000
In 0.840 0.340 0.000
CELL_PARAMETERS angstrom
6.788 0.000 0.000
0.000 6.788 0.000
0.000 0.000 5.664
```

***

b) A relaxed BeTl2In2 crystal. Source: Alexandria, functional GGA-PBE. Values from VASP.

Computed properties:
N(E_F)   0.47 states/eV per atom
Calculated volume   26.51 A^3/atom

The structure in Quantum ESPRESSO input format:
```
&SYSTEM
  ibrav = 0, nat = 10, ntyp = 3
/
ATOMIC_SPECIES
Be 9.01 Be.upf
Tl 204.38 Tl.upf
In 114.82 In.upf
ATOMIC_POSITIONS crystal
Be 0.000 0.000 0.000
Be 0.500 0.500 0.000
Tl 0.170 0.330 0.000
Tl 0.330 0.830 0.000
Tl 0.670 0.170 0.000
Tl 0.830 0.670 0.000
In 0.164 0.664 0.500
In 0.336 0.164 0.500
In 0.664 0.836 0.500
In 0.836 0.336 0.500
CELL_PARAMETERS angstrom
6.813 0.000 0.000
0.000 6.813 0.000
0.000 0.000 5.711
```

***

The winner here is a), beating the second structure by 9.4 kJ/mol of atoms.